First-principles (PBE-GGA) data for an optimized crystal structure of Dy2Tm4Sc3, as listed in the Alexandria database.

The value obtained for the calculated total energy is -5.00 eV/atom. The space group is C2/c (15). As for the crystal system: monoclinic. The value obtained for the energy relative to the lowest polymorph listed for this composition is 13 meV/atom. The calculation puts the energy relative to the elements at 124 meV per atom.

Unit cell a=9.4585 b=9.4585 c=6.1443 alpha=103.00 beta=103.00 gamma=84.47
Closest atoms and distances in Å follow each position.
Element x y z (fractional)
1 Dy 0.1381 0.2917 0.1187  3 Sc 3.15-3.24, 5 Tm 3.30-3.49
2 Dy 0.2917 0.1381 0.6187  3 Sc 3.15-3.24, 5 Tm 3.30-3.49
3 Dy 0.7083 0.8619 0.3813  3 Sc 3.15-3.24, 5 Tm 3.30-3.49
4 Dy 0.8619 0.7083 0.8813  3 Sc 3.15-3.24, 5 Tm 3.30-3.49
5 Tm 0.0289 0.6580 0.4267  3 Sc 3.37-3.69, 4 Dy 3.42-3.73, 5 Tm 3.43-3.73
6 Tm 0.2114 0.6147 0.9891  3 Sc 3.23-3.28, 2 Dy 3.30-3.49, 4 Tm 3.39-3.59
7 Tm 0.3420 0.9711 0.0733  3 Sc 3.37-3.69, 4 Dy 3.42-3.73, 5 Tm 3.43-3.73
8 Tm 0.3853 0.7886 0.5109  3 Sc 3.23-3.28, 2 Dy 3.30-3.49, 4 Tm 3.39-3.59
9 Tm 0.6147 0.2114 0.4891  3 Sc 3.23-3.28, 2 Dy 3.30-3.49, 4 Tm 3.39-3.59
10 Tm 0.6580 0.0289 0.9267  3 Sc 3.37-3.69, 4 Dy 3.42-3.73, 5 Tm 3.43-3.73
11 Tm 0.7886 0.3853 0.0109  3 Sc 3.23-3.28, 2 Dy 3.30-3.49, 4 Tm 3.39-3.59
12 Tm 0.9711 0.3420 0.5733  3 Sc 3.37-3.69, 4 Dy 3.42-3.73, 5 Tm 3.43-3.73
13 Sc 0.0303 0.9697 0.2500  2 Sc 3.17, 2 Dy 3.22, 2 Tm 3.37
14 Sc 0.3489 0.4572 0.5541  4 Sc 3.03-3.37, 2 Dy 3.15-3.24, 3 Tm 3.23-3.28
15 Sc 0.4572 0.3489 0.0541  4 Sc 3.03-3.37, 2 Dy 3.15-3.24, 3 Tm 3.23-3.28
16 Sc 0.5428 0.6511 0.9459  4 Sc 3.03-3.37, 2 Dy 3.15-3.24, 3 Tm 3.23-3.28
17 Sc 0.6511 0.5428 0.4459  4 Sc 3.03-3.37, 2 Dy 3.15-3.24, 3 Tm 3.23-3.28
18 Sc 0.9697 0.0303 0.7500  2 Sc 3.17, 2 Dy 3.22, 2 Tm 3.37